Record 1
# NaPm3Ir8 PBE-GGA optimized geometry
# E_tot = -7.736 eV per atom
# DOS at the Fermi energy = 1.204 states/eV/atom
# Space group = R3m
data_NaPm3Ir8
_space_group_name_H-M_alt 'P 1'
_space_group_IT_number 1
_cell_length_a 9.343
_cell_length_b 9.343
_cell_length_c 9.343
_cell_angle_alpha 33.54
_cell_angle_beta 33.54
_cell_angle_gamma 33.54
loop_
_space_group_symop_operation_xyz
'x,y,z'
loop_
_atom_site_label
_atom_site_fract_x
_atom_site_fract_y
_atom_site_fract_z
Na1 0.000 0.000 0.000
Pm1 0.121 0.121 0.121
Pm2 0.502 0.502 0.502
Pm3 0.630 0.630 0.630
Ir1 0.064 0.064 0.564
Ir2 0.064 0.564 0.064
Ir3 0.065 0.563 0.563
Ir4 0.314 0.314 0.314
Ir5 0.563 0.065 0.563
Ir6 0.563 0.563 0.065
Ir7 0.564 0.064 0.064
Ir8 0.814 0.814 0.814


Record 2
# NaPmSbIr PBE-GGA optimized geometry
# Energy relative to the elements, uncorrected = -484 meV per atom
# DOS at the Fermi energy = 0.202 states/eV/atom
# Space group = F-43m
data_NaPmSbIr
_space_group_name_H-M_alt 'P 1'
_space_group_IT_number 1
_cell_length_a 4.895
_cell_length_b 4.895
_cell_length_c 4.895
_cell_angle_alpha 60.00
_cell_angle_beta 60.00
_cell_angle_gamma 60.00
loop_
_space_group_symop_operation_xyz
'x,y,z'
loop_
_atom_site_label
_atom_site_fract_x
_atom_site_fract_y
_atom_site_fract_z
Na1 0.000 0.000 0.000
Pm1 0.750 0.750 0.750
Sb1 0.250 0.250 0.250
Ir1 0.500 0.500 0.500


Record 3
# NaPr3Ir PBE-GGA optimized geometry
# E_tot = -5.067 eV per atom
# DOS at the Fermi energy = 0.765 states/eV/atom
# Space group = Pm-3m
data_NaPr3Ir
_space_group_name_H-M_alt 'P 1'
_space_group_IT_number 1
_cell_length_a 5.701
_cell_length_b 5.701
_cell_length_c 5.701
_cell_angle_alpha 90.00
_cell_angle_beta 90.00
_cell_angle_gamma 90.00
loop_
_space_group_symop_operation_xyz
'x,y,z'
loop_
_atom_site_label
_atom_site_fract_x
_atom_site_fract_y
_atom_site_fract_z
Na1 0.000 0.000 0.000
Pr1 0.000 0.500 0.500
Pr2 0.500 0.000 0.500
Pr3 0.500 0.500 0.000
Ir1 0.500 0.500 0.500


Record 4
# NaPr3Ir8 PBE-GGA optimized geometry
# E_tot = -7.693 eV per atom
# DOS at the Fermi energy = 1.213 states/eV/atom
# Space group = R3m
data_NaPr3Ir8
_space_group_name_H-M_alt 'P 1'
_space_group_IT_number 1
_cell_length_a 9.395
_cell_length_b 9.395
_cell_length_c 9.395
_cell_angle_alpha 33.54
_cell_angle_beta 33.54
_cell_angle_gamma 33.54
loop_
_space_group_symop_operation_xyz
'x,y,z'
loop_
_atom_site_label
_atom_site_fract_x
_atom_site_fract_y
_atom_site_fract_z
Na1 0.000 0.000 0.000
Pr1 0.121 0.121 0.121
Pr2 0.502 0.502 0.502
Pr3 0.630 0.630 0.630
Ir1 0.064 0.064 0.565
Ir2 0.064 0.565 0.064
Ir3 0.065 0.563 0.563
Ir4 0.314 0.314 0.314
Ir5 0.563 0.065 0.563
Ir6 0.563 0.563 0.065
Ir7 0.565 0.064 0.064
Ir8 0.814 0.814 0.814


Record 5
# NaPrIr4 PBE-GGA optimized geometry
# E_tot = -7.212 eV per atom
# DOS at the Fermi energy = 1.060 states/eV/atom
# Space group = F-43m
data_NaPrIr4
_space_group_name_H-M_alt 'P 1'
_space_group_IT_number 1
_cell_length_a 5.375
_cell_length_b 5.375
_cell_length_c 5.375
_cell_angle_alpha 60.00
_cell_angle_beta 60.00
_cell_angle_gamma 60.00
loop_
_space_group_symop_operation_xyz
'x,y,z'
loop_
_atom_site_label
_atom_site_fract_x
_atom_site_fract_y
_atom_site_fract_z
Na1 0.000 0.000 0.000
Pr1 0.250 0.250 0.250
Ir1 0.124 0.625 0.625
Ir2 0.625 0.124 0.625
Ir3 0.625 0.625 0.124
Ir4 0.625 0.625 0.625


Record 6
# NaIrPt3 PBE-GGA optimized geometry
# DOS at the Fermi energy = 1.328 states/eV/atom
# Space group = Pm-3m
# Offset from the most stable computed form = 0.000 eV/atom
data_NaIrPt3
_space_group_name_H-M_alt 'P 1'
_space_group_IT_number 1
_cell_length_a 4.902
_cell_length_b 4.902
_cell_length_c 4.902
_cell_angle_alpha 90.00
_cell_angle_beta 90.00
_cell_angle_gamma 90.00
loop_
_space_group_symop_operation_xyz
'x,y,z'
loop_
_atom_site_label
_atom_site_fract_x
_atom_site_fract_y
_atom_site_fract_z
Na1 0.000 0.000 0.000
Ir1 0.500 0.500 0.500
Pt1 0.000 0.500 0.500
Pt2 0.500 0.000 0.500
Pt3 0.500 0.500 0.000


Record 7
# NaIr2Pt2 PBE-GGA optimized geometry
# DOS at the Fermi energy = 1.332 states/eV/atom
# Space group = P4/mbm
# Offset from the most stable computed form = 0.090 eV/atom
data_NaIr2Pt2
_space_group_name_H-M_alt 'P 1'
_space_group_IT_number 1
_cell_length_a 7.920
_cell_length_b 7.920
_cell_length_c 2.699
_cell_angle_alpha 90.00
_cell_angle_beta 90.00
_cell_angle_gamma 90.00
loop_
_space_group_symop_operation_xyz
'x,y,z'
loop_
_atom_site_label
_atom_site_fract_x
_atom_site_fract_y
_atom_site_fract_z
Na1 0.000 0.000 0.000
Na2 0.500 0.500 0.000
Ir1 0.176 0.324 0.500
Ir2 0.324 0.824 0.500
Ir3 0.676 0.176 0.500
Ir4 0.824 0.676 0.500
Pt1 0.124 0.624 0.000
Pt2 0.376 0.124 0.000
Pt3 0.624 0.876 0.000
Pt4 0.876 0.376 0.000


Record 8
# NaIr2Pt2 PBE-GGA optimized geometry
# DOS at the Fermi energy = 1.042 states/eV/atom
# Space group = P4/mbm
# Offset from the most stable computed form = 0.000 eV/atom
data_NaIr2Pt2
_space_group_name_H-M_alt 'P 1'
_space_group_IT_number 1
_cell_length_a 7.900
_cell_length_b 7.900
_cell_length_c 2.715
_cell_angle_alpha 90.00
_cell_angle_beta 90.00
_cell_angle_gamma 90.00
loop_
_space_group_symop_operation_xyz
'x,y,z'
loop_
_atom_site_label
_atom_site_fract_x
_atom_site_fract_y
_atom_site_fract_z
Na1 0.000 0.000 0.000
Na2 0.500 0.500 0.000
Ir1 0.117 0.383 0.000
Ir2 0.383 0.883 0.000
Ir3 0.617 0.117 0.000
Ir4 0.883 0.617 0.000
Pt1 0.183 0.683 0.500
Pt2 0.317 0.183 0.500
Pt3 0.683 0.817 0.500
Pt4 0.817 0.317 0.500


Record 9
# NaIrPt2 PBE-GGA optimized geometry
# DOS at the Fermi energy = 0.836 states/eV/atom
# Space group = I-42d
# Offset from the most stable computed form = 0.225 eV/atom
data_NaIrPt2
_space_group_name_H-M_alt 'P 1'
_space_group_IT_number 1
_cell_length_a 9.110
_cell_length_b 9.110
_cell_length_c 9.110
_cell_angle_alpha 148.15
_cell_angle_beta 148.15
_cell_angle_gamma 45.67
loop_
_space_group_symop_operation_xyz
'x,y,z'
loop_
_atom_site_label
_atom_site_fract_x
_atom_site_fract_y
_atom_site_fract_z
Na1 0.000 0.000 0.000
Na2 0.750 0.250 0.500
Ir1 0.250 0.750 0.500
Ir2 0.500 0.500 0.000
Pt1 0.312 0.625 0.187
Pt2 0.375 0.562 0.687
Pt3 0.438 0.125 0.813
Pt4 0.875 0.688 0.313


Record 10
# NaIrPt2 PBE-GGA optimized geometry
# DOS at the Fermi energy = 1.850 states/eV/atom
# Space group = Fm-3m
# Offset from the most stable computed form = 0.000 eV/atom
data_NaIrPt2
_space_group_name_H-M_alt 'P 1'
_space_group_IT_number 1
_cell_length_a 4.487
_cell_length_b 4.487
_cell_length_c 4.487
_cell_angle_alpha 60.00
_cell_angle_beta 60.00
_cell_angle_gamma 60.00
loop_
_space_group_symop_operation_xyz
'x,y,z'
loop_
_atom_site_label
_atom_site_fract_x
_atom_site_fract_y
_atom_site_fract_z
Na1 0.000 0.000 0.000
Ir1 0.500 0.500 0.500
Pt1 0.250 0.250 0.250
Pt2 0.750 0.750 0.750


Record 11
# Na3IrPt PBE-GGA optimized geometry
# E_tot = -2.609 eV per atom
# DOS at the Fermi energy = 1.851 states/eV/atom
# Space group = Pm-3m
data_Na3IrPt
_space_group_name_H-M_alt 'P 1'
_space_group_IT_number 1
_cell_length_a 5.395
_cell_length_b 5.395
_cell_length_c 5.395
_cell_angle_alpha 90.00
_cell_angle_beta 90.00
_cell_angle_gamma 90.00
loop_
_space_group_symop_operation_xyz
'x,y,z'
loop_
_atom_site_label
_atom_site_fract_x
_atom_site_fract_y
_atom_site_fract_z
Na1 0.000 0.000 0.500
Na2 0.000 0.500 0.000
Na3 0.500 0.000 0.000
Ir1 0.000 0.000 0.000
Pt1 0.500 0.500 0.500


Record 12
# RbNaIr2Pt PBE-GGA optimized geometry
# E_tot = -4.148 eV per atom
# DOS at the Fermi energy = 0.661 states/eV/atom
# Space group = P4/mmm
data_RbNaIr2Pt
_space_group_name_H-M_alt 'P 1'
_space_group_IT_number 1
_cell_length_a 4.879
_cell_length_b 4.879
_cell_length_c 5.912
_cell_angle_alpha 90.00
_cell_angle_beta 90.00
_cell_angle_gamma 90.00
loop_
_space_group_symop_operation_xyz
'x,y,z'
loop_
_atom_site_label
_atom_site_fract_x
_atom_site_fract_y
_atom_site_fract_z
Rb1 0.000 0.000 0.000
Na1 0.500 0.500 0.000
Ir1 0.000 0.500 0.500
Ir2 0.500 0.000 0.500
Pt1 0.000 0.000 0.500


Number 1: calculated volume 221.7 Å³ per cell. Number 2: calculated volume 82.9 Å³ per cell. Number 3: calculated volume 185.3 Å³ per cell. Number 4: calculated volume 225.6 Å³ per cell. Number 5: calculated volume 109.8 Å³ per cell. Number 6: calculated volume 117.8 Å³ per cell. Number 7: calculated volume 169.3 Å³ per cell. Number 8: calculated volume 169.5 Å³ per cell. Number 9: calculated volume 209.9 Å³ per cell. Number 10: calculated volume 63.9 Å³ per cell. Number 11: calculated volume 157.1 Å³ per cell. Number 12: calculated volume 140.8 Å³ per cell.